Below is a relaxed structure of ZrTaAg2, with properties calculated at the PBE level.

The space group is P2/m, No. 10. Its energy of formation from the pure elements is 0.23 eV/atom. The magnetization comes out at 0.0 Bohr magnetons per cell. For the energy relative to the lowest polymorph listed for this composition, the calculation gives 165 meV per atom.

Unit cell a=2.819 b=4.895 c=5.620 alpha=90.00 beta=103.79 gamma=90.00
Sites, in units of the cell vectors:
Zr 0.000 0.000 0.000
Ta 0.500 0.000 0.500
Ag 0.276 0.500 0.742
Ag 0.724 0.500 0.258


Below is a relaxed structure of Zr2TaAg, with properties calculated at the PBE level.

The space group is Pmmm, No. 47. Its energy of formation from the pure elements is 0.00 eV/atom. The magnetization comes out at 0.0 Bohr magnetons per cell. For the energy relative to the lowest polymorph listed for this composition, the calculation gives 0 meV per atom.

Unit cell a=3.169 b=3.580 c=7.275 alpha=90.00 beta=90.00 gamma=90.00
Sites, in units of the cell vectors:
Zr 0.000 0.000 0.239
Zr 0.000 0.000 0.761
Ta 0.500 0.500 0.000
Ag 0.500 0.500 0.500


Below is a relaxed structure of Zr2TaAg2, with properties calculated at the PBE level.

The space group is P4/mbm, No. 127. Its energy of formation from the pure elements is 0.28 eV/atom. The magnetization comes out at 0.0 Bohr magnetons per cell. For the energy relative to the lowest polymorph listed for this composition, the calculation gives 0 meV per atom.

Unit cell a=8.344 b=8.344 c=2.898 alpha=90.00 beta=90.00 gamma=90.00
Sites, in units of the cell vectors:
Zr 0.182 0.318 0.000
Zr 0.318 0.818 0.000
Zr 0.682 0.182 0.000
Zr 0.818 0.682 0.000
Ta 0.000 0.000 0.500
Ta 0.500 0.500 0.500
Ag 0.116 0.616 0.500
Ag 0.384 0.116 0.500
Ag 0.616 0.884 0.500
Ag 0.884 0.384 0.500


Below is a relaxed structure of ZrTaAg2, with properties calculated at the PBE level.

The space group is Pmm2, No. 25. Its energy of formation from the pure elements is 0.14 eV/atom. The magnetization comes out at 0.0 Bohr magnetons per cell. For the energy relative to the lowest polymorph listed for this composition, the calculation gives 74 meV per atom.

Unit cell a=3.243 b=3.690 c=6.386 alpha=90.00 beta=90.00 gamma=90.00
Sites, in units of the cell vectors:
Zr 0.000 0.000 0.000
Ta 0.500 0.500 0.736
Ag 0.000 0.000 0.496
Ag 0.500 0.500 0.263


Below is a relaxed structure of ZrTaAg2, with properties calculated at the PBE level.

The space group is Imm2, No. 44. Its energy of formation from the pure elements is 0.25 eV/atom. The magnetization comes out at 0.0 Bohr magnetons per cell. For the energy relative to the lowest polymorph listed for this composition, the calculation gives 185 meV per atom.

Unit cell a=5.834 b=5.834 c=5.834 alpha=150.54 beta=127.28 gamma=61.55
Sites, in units of the cell vectors:
Zr 0.000 0.000 0.000
Ta 0.248 0.748 0.500
Ag 0.498 0.498 0.000
Ag 0.737 0.237 0.500


Below is a relaxed structure of ZrTaAg2, with properties calculated at the PBE level.

The space group is I-42d, No. 122. Its energy of formation from the pure elements is 0.62 eV/atom. The magnetization comes out at 0.0 Bohr magnetons per cell. For the energy relative to the lowest polymorph listed for this composition, the calculation gives 556 meV per atom.

Unit cell a=6.108 b=6.108 c=6.108 alpha=101.51 beta=101.51 gamma=126.93
Sites, in units of the cell vectors:
Zr 0.000 0.000 0.000
Zr 0.750 0.250 0.500
Ta 0.250 0.750 0.500
Ta 0.500 0.500 0.000
Ag 0.141 0.625 0.016
Ag 0.375 0.391 0.516
Ag 0.609 0.125 0.984
Ag 0.875 0.859 0.484


Below is a relaxed structure of Zr2TaAg, with properties calculated at the PBE level.

The space group is P4/mmm, No. 123. Its energy of formation from the pure elements is 0.10 eV/atom. The magnetization comes out at 0.0 Bohr magnetons per cell. For the energy relative to the lowest polymorph listed for this composition, the calculation gives 101 meV per atom.

Unit cell a=4.802 b=4.802 c=3.499 alpha=90.00 beta=90.00 gamma=90.00
Sites, in units of the cell vectors:
Zr 0.000 0.500 0.000
Zr 0.500 0.000 0.000
Ta 0.000 0.000 0.500
Ag 0.500 0.500 0.500


Below is a relaxed structure of Zr2TaAg, with properties calculated at the PBE level.

The space group is R-3m, No. 166. Its energy of formation from the pure elements is 0.14 eV/atom. The magnetization comes out at 0.0 Bohr magnetons per cell. For the energy relative to the lowest polymorph listed for this composition, the calculation gives 137 meV per atom.

Unit cell a=10.013 b=10.013 c=10.013 alpha=17.96 beta=17.96 gamma=17.96
Sites, in units of the cell vectors:
Zr 0.249 0.249 0.249
Zr 0.751 0.751 0.751
Ta 0.500 0.500 0.500
Ag 0.000 0.000 0.000